Computed, not measured: crystalline BeRe2IO at its relaxed geometry at the GGA-PBE level of DFT.

Cell lengths 3.884, 3.884, 6.419 Å; angles 90.00, 90.00, 90.00 degrees
Space group P4/mmm (No. 123)
One atom of each set of equivalent atoms:
Be: 0.000 0.000 0.000 [1 per cell]
Re: 0.000 0.500 0.500 [2 per cell]
I: 0.500 0.500 0.000 [1 per cell]
O: 0.500 0.500 0.500 [1 per cell]

Output
E_form (uncorrected) = 1.06 eV/atom
raw total energy = -5.965 eV per atom